No. 1
DFT (GGA-PBE) results for crystalline MgAuBr2 at its relaxed geometry.

Structure (POSCAR):
```
MgAuBr2
1.0
3.483 0.000 0.000
0.000 7.104 0.579
0.000 4.885 5.904
Mg Br Au
1 2 1
direct
0.500 0.250 0.250
0.000 0.364 0.408
0.000 0.136 0.092
0.500 0.750 0.750
```

Properties
The value obtained for the total magnetization is 0.0 Bohr magnetons per cell. The space group is P2/m. The calculation puts the energy relative to the lowest polymorph listed for this composition at 0.151 eV per atom.

No. 2
DFT (GGA-PBE) results for crystalline CsPrBi2 at its relaxed geometry.

Structure (POSCAR):
```
CsPrBi2
1.0
4.695 0.000 0.000
2.347 4.066 0.000
2.347 1.355 9.431
Cs Pr Bi
1 1 2
direct
0.500 0.500 0.500
0.000 0.000 0.000
0.731 0.731 0.807
0.269 0.269 0.193
```

Properties
The value obtained for the total magnetization is 0.0 Bohr magnetons per cell. The space group is R-3m. The calculation puts the energy relative to the lowest polymorph listed for this composition at 0.171 eV per atom. As for the energy of formation: -39 kJ/mol of atoms.

No. 3
DFT (GGA-PBE) results for crystalline PaZnCoRu at its relaxed geometry.

Structure (POSCAR):
```
PaZnCoRu
1.0
-3.371 -0.845 0.846
1.402 -3.053 2.541
0.123 2.737 3.221
Co Zn Pa Ru
1 1 1 1
direct
0.500 0.500 0.000
0.000 0.000 0.000
0.000 0.500 0.500
0.500 0.000 0.500
```

Properties
The value obtained for the total magnetization is 0.0 Bohr magnetons per cell. The space group is Pmmm. The calculation puts the energy relative to the lowest polymorph listed for this composition at 0.000 eV per atom. As for the energy of formation: -37 kJ/mol of atoms.

No. 4
DFT (GGA-PBE) results for crystalline Sc2FeC at its relaxed geometry.

Structure (POSCAR):
```
Sc2FeC
1.0
6.614 0.000 0.000
0.000 6.614 0.000
3.307 3.307 3.002
Sc Fe C
4 2 2
direct
0.558 0.125 0.250
0.375 0.442 0.750
0.192 0.625 0.250
0.875 0.808 0.750
0.000 0.000 0.000
0.750 0.250 0.500
0.250 0.750 0.500
0.500 0.500 0.000
```

Properties
The value obtained for the total magnetization is 4.1 Bohr magnetons per cell. The space group is I-42d. As for the energy of formation: 33 kJ/mol of atoms.

No. 5
DFT (GGA-PBE) results for crystalline La7Te2Pb2 at its relaxed geometry.

Structure (POSCAR):
```
La7Te2Pb2
1.0
-0.604 7.289 1.777
-4.071 -1.739 5.750
6.161 -2.282 3.672
La Pb Te
7 2 2
direct
0.500 0.715 0.000
0.000 0.285 0.500
0.500 0.285 0.000
0.500 0.255 0.500
0.500 0.745 0.500
0.000 0.000 0.000
0.000 0.715 0.500
0.822 0.500 0.822
0.178 0.500 0.178
0.272 0.000 0.728
0.728 0.000 0.272
```

Properties
The value obtained for the total magnetization is 0.0 Bohr magnetons per cell. The space group is Cmmm. As for the electronic total energy: -4.95 eV per atom.

No. 6
DFT (GGA-PBE) results for crystalline BaZn3Cr at its relaxed geometry.

Structure (POSCAR):
```
BaZn3Cr
1.0
-4.178 4.100 -1.578
-4.308 -4.251 0.360
-0.863 1.369 5.843
Zn Ba Cr
3 1 1
direct
0.000 0.500 0.000
0.000 0.000 0.500
0.500 0.000 0.000
0.000 0.000 0.000
0.500 0.500 0.500
```

Properties
The value obtained for the total magnetization is 4.7 Bohr magnetons per cell. The space group is Pm-3m. The calculation puts the energy relative to the lowest polymorph listed for this composition at 1.116 eV per atom. As for the energy of formation: 123 kJ/mol of atoms.

No. 7
DFT (GGA-PBE) results for crystalline KZnRe4 at its relaxed geometry.

Structure (POSCAR):
```
KZnRe4
1.0
0.129 -4.111 -3.412
-4.082 -3.443 -0.191
-3.251 -0.056 -4.241
Zn Re K
1 4 1
direct
0.750 0.750 0.750
0.375 0.375 0.874
0.874 0.375 0.375
0.375 0.375 0.375
0.375 0.874 0.375
0.000 0.000 0.000
```

Properties
The value obtained for the total magnetization is 0.0 Bohr magnetons per cell. The space group is F-43m. As for the energy of formation: 100 kJ/mol of atoms.

No. 8
DFT (GGA-PBE) results for crystalline SmHo4Tm2 at its relaxed geometry.

Structure (POSCAR):
```
SmHo4Tm2
1.0
8.472 0.005 -0.005
-0.006 8.320 0.371
-4.232 -4.022 3.028
Ho Tm Sm
4 2 1
direct
0.688 0.693 0.988
0.312 0.307 0.012
0.300 0.694 0.988
0.700 0.306 0.012
0.247 0.775 0.493
0.753 0.225 0.507
0.000 0.000 0.000
```

Properties
The value obtained for the total magnetization is 0.0 Bohr magnetons per cell. The space group is C2/m. The calculation puts the energy relative to the lowest polymorph listed for this composition at 0.171 eV per atom. As for the energy of formation: 20 kJ/mol of atoms.

No. 9
DFT (GGA-PBE) results for crystalline KPaTe4Au at its relaxed geometry.

Structure (POSCAR):
```
KPaTe4Au
1.0
-4.681 5.675 2.353
-4.054 -1.441 -4.587
-2.082 -8.846 4.619
Te Au Pa K
8 2 2 2
direct
0.040 0.508 0.701
0.040 0.992 0.701
0.564 0.250 0.406
0.453 0.750 0.134
0.960 0.492 0.299
0.547 0.250 0.866
0.960 0.008 0.299
0.436 0.750 0.594
0.735 0.250 0.695
0.265 0.750 0.305
0.280 0.250 0.560
0.720 0.750 0.440
0.217 0.250 0.055
0.783 0.750 0.945
```

Properties
The value obtained for the total magnetization is 0.6 Bohr magnetons per cell. The space group is P2_1/m. As for the electronic total energy: -4.46 eV per atom.

No. 10
DFT (GGA-PBE) results for crystalline Fe2AgRu at its relaxed geometry.

Structure (POSCAR):
```
Fe2AgRu
1.0
-8.158 -2.389 3.163
-7.925 -4.235 1.234
-6.858 -4.681 3.651
Ag Fe Ru
1 2 1
direct
0.750 0.750 0.750
0.504 0.504 0.504
0.996 0.996 0.996
0.250 0.250 0.250
```

Properties
The value obtained for the total magnetization is 4.7 Bohr magnetons per cell. The space group is R-3m. The calculation puts the energy relative to the lowest polymorph listed for this composition at 0.029 eV per atom. As for the energy of formation: 32 kJ/mol of atoms.

No. 11
DFT (GGA-PBE) results for crystalline KTlAs2 at its relaxed geometry.

Structure (POSCAR):
```
KTlAs2
1.0
-0.672 -4.439 -4.110
1.216 -1.709 5.714
-3.067 -0.111 0.620
K As Tl
1 2 1
direct
0.500 0.000 0.500
0.000 0.000 0.000
0.500 0.500 0.000
0.000 0.500 0.500
```

Properties
The value obtained for the total magnetization is 0.0 Bohr magnetons per cell. The space group is Cmmm. The calculation puts the energy relative to the lowest polymorph listed for this composition at 0.328 eV per atom. As for the energy of formation: 9 kJ/mol of atoms.

No. 12
DFT (GGA-PBE) results for crystalline Ca3ZnP3 at its relaxed geometry.

Structure (POSCAR):
```
Ca3ZnP3
1.0
6.090 0.000 0.000
-3.045 8.951 0.000
0.000 0.000 11.903
P Ca Zn
12 12 4
direct
0.442 0.324 0.622
0.278 0.000 0.389
0.222 0.000 0.889
0.381 0.324 0.122
0.778 0.000 0.111
0.058 0.676 0.122
0.942 0.324 0.878
0.881 0.324 0.378
0.119 0.676 0.622
0.558 0.676 0.378
0.722 0.000 0.611
0.619 0.676 0.878
0.876 0.351 0.132
0.376 0.351 0.368
0.475 0.351 0.868
0.525 0.649 0.132
0.975 0.351 0.632
0.690 0.000 0.853
0.124 0.649 0.868
0.025 0.649 0.368
0.190 0.000 0.647
0.810 0.000 0.353
0.624 0.649 0.632
0.310 0.000 0.147
0.415 0.830 0.500
0.585 0.170 0.500
0.915 0.830 0.000
0.085 0.170 0.000
```

Properties
The value obtained for the total magnetization is 0.0 Bohr magnetons per cell. The space group is Cmce. As for the energy of formation: -87 kJ/mol of atoms.

No. 13
DFT (GGA-PBE) results for crystalline BaSiNi2 at its relaxed geometry.

Structure (POSCAR):
```
BaSiNi2
1.0
-2.428 3.719 -1.639
-1.718 0.793 4.345
2.521 1.931 0.644
Si Ni Ba
1 2 1
direct
0.500 0.000 0.500
0.500 0.500 0.000
0.000 0.000 0.000
0.000 0.500 0.500
```

Properties
The value obtained for the total magnetization is 0.0 Bohr magnetons per cell. The space group is P4/mmm. As for the electronic total energy: -4.23 eV per atom.

No. 14
DFT (GGA-PBE) results for crystalline Na2ZnTe2 at its relaxed geometry.

Structure (POSCAR):
```
Na2ZnTe2
1.0
7.883 0.000 0.000
0.000 7.883 0.000
0.000 0.000 4.634
Te Zn Na
4 2 4
direct
0.181 0.319 0.000
0.819 0.681 0.000
0.319 0.819 0.000
0.681 0.181 0.000
0.500 0.500 0.000
0.000 0.000 0.000
0.863 0.363 0.500
0.637 0.863 0.500
0.137 0.637 0.500
0.363 0.137 0.500
```

Properties
The value obtained for the total magnetization is 0.0 Bohr magnetons per cell. The space group is P4/mbm. As for the electronic total energy: -2.53 eV per atom.

No. 15
DFT (GGA-PBE) results for crystalline LaTbScAl at its relaxed geometry.

Structure (POSCAR):
```
LaTbScAl
1.0
5.345 0.000 0.000
2.672 4.629 0.000
2.672 1.543 4.364
Tb Al La Sc
1 1 1 1
direct
0.250 0.250 0.250
0.500 0.500 0.500
0.750 0.750 0.750
0.000 0.000 0.000
```

Properties
The value obtained for the total magnetization is 1.1 Bohr magnetons per cell. The space group is F-43m. As for the energy of formation: -10 kJ/mol of atoms.